(1)
The following is a GGA-PBE calculation of a relaxed structure of Pu2Zr3PaN6, from Alexandria.

Cell lengths 5.8099, 5.8099, 5.8950 Å; angles 99.48, 99.48, 120.00 degrees
Fractional coordinates of all 12 atoms:
Pu 0.1668 0.8332 0.0000
Pu 0.8332 0.1668 0.0000
Zr 0.0000 0.0000 0.5000
Zr 0.3306 0.6694 0.5000
Zr 0.6694 0.3306 0.5000
Pa 0.5000 0.5000 0.0000
N 0.0821 0.4110 0.7334
N 0.2592 0.2592 0.2648
N 0.4110 0.0821 0.7334
N 0.5890 0.9179 0.2666
N 0.7408 0.7408 0.7352
N 0.9179 0.5890 0.2666

## Properties
- Symmetry: C2/m (12)
- Energy: -0.81311 Ry per atom
- N(E_F): 12.80 states/eV per cell
- Volume: 162.7 Å³/f.u.

(2)
The following is a GGA-PBE calculation of a relaxed structure of RbPaN2, from Alexandria.

Cell lengths 7.0603, 7.0603, 7.0603 Å; angles 29.74, 29.74, 29.74 degrees
Fractional coordinates of all 4 atoms:
Rb 0.0000 0.0000 0.0000
Pa 0.5000 0.5000 0.5000
N 0.2172 0.2172 0.2172
N 0.7828 0.7828 0.7828

## Properties
- Symmetry: R-3m (166)
- N(E_F): 0.00 states/eV per cell
- Volume: 76.7 Å³/f.u.
- Energy relative to the lowest polymorph listed for this composition: 0 meV per atom

(3)
The following is a GGA-PBE calculation of a relaxed structure of RbPa5N8, from Alexandria.

Cell lengths 9.3828, 9.3828, 7.1635 Å; angles 100.28, 100.28, 21.24 degrees
Fractional coordinates of all 14 atoms:
Rb 0.0000 0.0000 0.0000
Pa 0.1656 0.1656 0.3567
Pa 0.1835 0.1835 0.8300
Pa 0.5000 0.5000 0.5000
Pa 0.8165 0.8165 0.1700
Pa 0.8344 0.8344 0.6433
N 0.0718 0.0718 0.6447
N 0.2900 0.2900 0.3809
N 0.3054 0.3054 0.9349
N 0.4154 0.4154 0.6924
N 0.5846 0.5846 0.3076
N 0.6946 0.6946 0.0651
N 0.7100 0.7100 0.6191
N 0.9282 0.9282 0.3553

## Properties
- Symmetry: C2/m (12)
- Energy: -0.70795 Ry per atom
- N(E_F): 5.73 states/eV per cell
- Volume: 224.7 Å³/f.u.

(4)
The following is a GGA-PBE calculation of a relaxed structure of RbPaN2, from Alexandria.

Cell lengths 7.1245, 7.1245, 7.1245 Å; angles 29.40, 29.40, 29.40 degrees
Fractional coordinates of all 4 atoms:
Rb 0.0000 0.0000 0.0000
Pa 0.1698 0.1698 0.1698
N 0.5544 0.5544 0.5544
N 0.7872 0.7872 0.7872

## Properties
- Symmetry: R3m (160)
- N(E_F): 0.00 states/eV per cell
- Volume: 77.1 Å³/f.u.
- Energy relative to the lowest polymorph listed for this composition: 28 meV per atom

(5)
The following is a GGA-PBE calculation of a relaxed structure of RbPaN2, from Alexandria.

Cell lengths 3.0771, 3.0771, 6.9729 Å; angles 90.00, 90.00, 90.00 degrees
Fractional coordinates of all 4 atoms:
Rb 0.0000 0.0000 0.0000
Pa 0.0000 0.0000 0.5000
N 0.5000 0.5000 0.3247
N 0.5000 0.5000 0.6753

## Properties
- Symmetry: P4/mmm (123)
- N(E_F): 2.78 states/eV per cell
- Volume: 66.0 Å³/f.u.
- Energy relative to the lowest polymorph listed for this composition: 747 meV per atom

(6)
The following is a GGA-PBE calculation of a relaxed structure of RbPaN2, from Alexandria.

Cell lengths 7.7308, 7.7308, 7.7308 Å; angles 27.27, 27.27, 27.27 degrees
Fractional coordinates of all 4 atoms:
Rb 0.0000 0.0000 0.0000
Pa 0.5000 0.5000 0.5000
N 0.1226 0.1226 0.1226
N 0.8774 0.8774 0.8774

## Properties
- Symmetry: R-3m (166)
- N(E_F): 1.31 states/eV per cell
- Volume: 85.6 Å³/f.u.
- Energy relative to the lowest polymorph listed for this composition: 171 meV per atom

(7)
The following is a GGA-PBE calculation of a relaxed structure of RbPaN, from Alexandria.

Cell lengths 5.0680, 5.0680, 7.6848 Å; angles 105.81, 105.81, 97.60 degrees
Fractional coordinates of all 6 atoms:
Rb 0.2479 0.7521 0.0000
Rb 0.7521 0.2479 0.0000
Pa 0.3053 0.3053 0.5014
Pa 0.6947 0.6947 0.4986
N 0.3734 0.3734 0.2509
N 0.6266 0.6266 0.7491

## Properties
- Symmetry: C2/m (12)
- Energy: -0.45556 Ry per atom
- N(E_F): 7.37 states/eV per cell
- Volume: 89.1 Å³/f.u.

(8)
The following is a GGA-PBE calculation of a relaxed structure of Rb2Pa2ReN6, from Alexandria.

Cell lengths 5.8638, 5.8638, 7.0249 Å; angles 96.69, 96.69, 119.65 degrees
Fractional coordinates of all 11 atoms:
Rb 0.1601 0.8399 0.0000
Rb 0.8399 0.1601 0.0000
Pa 0.3347 0.6653 0.5000
Pa 0.6653 0.3347 0.5000
Re 0.0000 0.0000 0.5000
N 0.0407 0.3522 0.6486
N 0.2571 0.2571 0.3480
N 0.3522 0.0407 0.6486
N 0.6478 0.9593 0.3514
N 0.7429 0.7429 0.6520
N 0.9593 0.6478 0.3514

## Properties
- Symmetry: C2/m (12)
- Energy: -0.61076 Ry per atom
- N(E_F): 4.05 states/eV per cell
- Volume: 204.2 Å³/f.u.

(9)
The following is a GGA-PBE calculation of a relaxed structure of RbPa2ReN5, from Alexandria.

Cell lengths 7.5051, 7.5051, 7.5051 Å; angles 126.12, 126.12, 79.69 degrees
Fractional coordinates of all 18 atoms:
Rb 0.2500 0.2500 0.0000
Rb 0.7500 0.7500 0.0000
Pa 0.1874 0.6874 0.8749
Pa 0.3126 0.1874 0.5000
Pa 0.6874 0.8126 0.5000
Pa 0.8126 0.3126 0.1251
Re 0.2500 0.7500 0.5000
Re 0.7500 0.2500 0.5000
N 0.0000 0.0000 0.0000
N 0.0075 0.2334 0.5000
N 0.2334 0.7334 0.2259
N 0.2666 0.4925 0.5000
N 0.4925 0.9925 0.2259
N 0.5000 0.5000 0.0000
N 0.5075 0.0075 0.7741
N 0.7334 0.5075 0.5000
N 0.7666 0.2666 0.7741
N 0.9925 0.7666 0.5000

## Properties
- Symmetry: I4/mcm (140)
- Energy: -0.66490 Ry per atom
- N(E_F): 9.55 states/eV per cell
- Volume: 133.2 Å³/f.u.

(10)
The following is a GGA-PBE calculation of a relaxed structure of Rb4Pa3ReN8, from Alexandria.

Cell lengths 7.8303, 7.8303, 7.8303 Å; angles 53.03, 53.03, 53.03 degrees
Fractional coordinates of all 16 atoms:
Rb 0.0000 0.0000 0.0000
Rb 0.0000 0.5000 0.5000
Rb 0.5000 0.0000 0.5000
Rb 0.5000 0.5000 0.0000
Pa 0.0000 0.0000 0.5000
Pa 0.0000 0.5000 0.0000
Pa 0.5000 0.0000 0.0000
Re 0.5000 0.5000 0.5000
N 0.2188 0.2188 0.2188
N 0.2360 0.7094 0.7094
N 0.2906 0.2906 0.7640
N 0.2906 0.7640 0.2906
N 0.7094 0.2360 0.7094
N 0.7094 0.7094 0.2360
N 0.7640 0.2906 0.2906
N 0.7812 0.7812 0.7812

## Properties
- Symmetry: R-3m (166)
- Energy: -0.56660 Ry per atom
- N(E_F): 4.39 states/eV per cell
- Volume: 284.1 Å³/f.u.

(11)
The following is a GGA-PBE calculation of a relaxed structure of Rb2PaReN4, from Alexandria.

Cell lengths 6.3060, 6.3060, 6.3060 Å; angles 120.23, 120.23, 89.60 degrees
Fractional coordinates of all 8 atoms:
Rb 0.0000 0.0000 0.0000
Rb 0.7500 0.2500 0.5000
Pa 0.5000 0.5000 0.0000
Re 0.2500 0.7500 0.5000
N 0.2670 0.0912 0.6212
N 0.3542 0.7330 0.8242
N 0.4700 0.6458 0.3788
N 0.9088 0.5300 0.1758

## Properties
- Symmetry: I-4 (82)
- Energy: -0.56092 Ry per atom
- N(E_F): 4.22 states/eV per cell
- Volume: 176.7 Å³/f.u.

(12)
The following is a GGA-PBE calculation of a relaxed structure of RbPaRhN3, from Alexandria.

Cell lengths 7.9633, 3.6342, 9.2122 Å; angles 90.00, 109.15, 90.00 degrees
Fractional coordinates of all 12 atoms:
Rb 0.1964 0.2500 0.1944
Rb 0.8036 0.7500 0.8056
Pa 0.3349 0.7500 0.8551
Pa 0.6651 0.2500 0.1449
Rh 0.0441 0.2500 0.6084
Rh 0.9559 0.7500 0.3916
N 0.1511 0.7500 0.5988
N 0.1544 0.2500 0.8440
N 0.4753 0.7500 0.1110
N 0.5247 0.2500 0.8890
N 0.8456 0.7500 0.1560
N 0.8489 0.2500 0.4012

## Properties
- Symmetry: P2_1/m (11)
- Energy: -0.56788 Ry per atom
- N(E_F): 2.55 states/eV per cell
- Volume: 125.9 Å³/f.u.